Below is a geometry-optimized Mg2Te structure, with properties calculated at the GGA-PBE level.

Cell lengths 7.0835, 7.0835, 6.4514 Å; angles 90.00, 90.00, 120.00 degrees
With the nearest neighbours (Å) after each atom.
Space group P-31m (No. 162)
One atom of each set of equivalent atoms:
Mg 0.0000 0.3896 0.1828 [6 per cell]  1 Mg 2.83, 3 Te 3.00
Te 0.0000 0.0000 0.0000 [1 per cell]  6 Mg 3.00
Te 0.3333 0.6667 0.5000 [2 per cell]  6 Mg 3.00

The density comes out at 3.131 g/cm3. Its density of states at the Fermi level is 0.06 states/eV per atom. The total energy is -2.423 eV/atom. The calculation puts the raw formation energy at -0.31 eV/atom.


Below is a geometry-optimized Pr8AlPt2 structure, with properties calculated at the GGA-PBE level.

Cell lengths 9.0737, 13.8929, 5.5953 Å; angles 90.00, 104.61, 90.00 degrees
With the nearest neighbours (Å) after each atom.
Space group Cm (No. 8)
One atom of each set of equivalent atoms:
Pr 0.0000 0.0000 0.0000 [2 per cell]  2 Pt 3.17, 3 Pr 3.35-3.50, 1 Al 3.35
Pr 0.0782 0.3767 0.7566 [4 per cell]  2 Pt 3.02-3.14
Pr 0.1853 0.1225 0.6137 [4 per cell]  2 Pt 3.01-3.16
Pr 0.2629 0.5000 0.3719 [2 per cell]  2 Pt 3.18, 3 Pr 3.35-3.49, 1 Al 3.35
Pr 0.3800 0.2434 0.1861 [4 per cell]  2 Pt 2.96
Al 0.3814 0.0000 0.1855 [2 per cell]  12 Pr 3.35-3.75
Pt 0.3827 0.3127 0.6873 [4 per cell]  8 Pr 2.96-3.18

The density comes out at 7.515 g/cm3. Its density of states at the Fermi level is 1.46 states/eV per atom. The total energy is -5.290 eV/atom. Its formation energy is -36.2 kJ/mol of atoms.


Below is a geometry-optimized BPdSe3 structure, with properties calculated at the GGA-PBE level.

Cell lengths 12.3000, 3.0921, 5.6631 Å; angles 90.00, 115.66, 90.00 degrees
With the nearest neighbours (Å) after each atom.
Space group Cm (No. 8)
One atom of each set of equivalent atoms:
B 0.0000 0.0000 0.0000 [2 per cell]  4 Se 2.06-2.07
Pd 0.3132 0.5000 0.4830 [2 per cell]  5 Se 2.52-2.75
Se 0.0095 0.5000 0.7691 [2 per cell]  2 B 2.06
Se 0.1365 0.0000 0.3771 [2 per cell]  1 B 2.07
Se 0.3375 0.5000 0.0234 [2 per cell]  1 B 2.06

The density comes out at 6.057 g/cm3. Its density of states at the Fermi level is 0.50 states/eV per atom. The total energy is -4.533 eV/atom. The value obtained for the polymorph energy (0 for the lowest one) is 0.0 meV/atom. The calculation puts the raw formation energy at -0.07 eV/atom.


Below is a geometry-optimized Na2CeHo2Se6 structure, with properties calculated at the GGA-PBE level.

Cell lengths 7.1790, 12.4304, 7.4218 Å; angles 90.00, 108.81, 90.00 degrees
With the nearest neighbours (Å) after each atom.
Space group C2/m (No. 12)
One atom of each set of equivalent atoms:
Na 0.0000 0.1673 0.0000 [4 per cell]  6 Se 3.06-3.08
Ce 0.0000 0.0000 0.5000 [2 per cell]  6 Se 2.86-2.88
Ho 0.0000 0.3337 0.5000 [4 per cell]  6 Se 2.86-2.87
Se 0.2411 0.1677 0.7254 [8 per cell]  2 Ho 2.86-2.87, 1 Ce 2.88, 2 Na 3.06-3.07
Se 0.2430 0.5000 0.7251 [4 per cell]  1 Ce 2.86, 2 Ho 2.87, 2 Na 3.08

The density comes out at 5.243 g/cm3. The total energy is -5.176 eV/atom. The calculation puts the raw formation energy at -1.66 eV/atom.


Below is a geometry-optimized TaAsPb2 structure, with properties calculated at the GGA-PBE level.

Cell lengths 3.4430, 3.4430, 29.5670 Å; angles 90.00, 90.00, 120.00 degrees
With the nearest neighbours (Å) after each atom.
Space group R3m (No. 160, hexagonal axes)
One atom of each set of equivalent atoms:
Ta 0.0000 0.0000 0.0000 [3 per cell]  3 As 2.55
As 0.0000 0.0000 0.2795 [3 per cell]  3 Ta 2.55
Pb 0.0000 0.0000 0.5196 [3 per cell]  3 As 3.40, 9 Pb 3.44-3.67
Pb 0.0000 0.0000 0.7486 [3 per cell]  3 Ta 3.13, 6 Pb 3.44

The density comes out at 11.000 g/cm3. Its density of states at the Fermi level is 0.74 states/eV per atom. The total energy is -5.864 eV/atom. Its formation energy is 11.2 kJ/mol of atoms.


Below is a geometry-optimized GaCoSe2 structure, with properties calculated at the GGA-PBE level.

Cell lengths 11.3767, 3.5883, 7.8352 Å; angles 90.00, 110.72, 90.00 degrees
With the nearest neighbours (Å) after each atom.
Space group C2/m (No. 12)
One atom of each set of equivalent atoms:
Ga 0.0797 0.0000 0.3383 [4 per cell]  1 Co 2.40, 1 Se 2.67
Co 0.1441 0.0000 0.8112 [4 per cell]  5 Se 2.37-2.42, 1 Ga 2.40
Se 0.1361 0.5000 0.0042 [4 per cell]  3 Co 2.37-2.41
Se 0.1779 0.5000 0.6272 [4 per cell]  2 Co 2.42, 1 Ga 2.67

The density comes out at 6.362 g/cm3. Its density of states at the Fermi level is 0.20 states/eV per atom. The total energy is -4.538 eV/atom. The calculation puts the raw formation energy at -0.26 eV/atom.


Below is a geometry-optimized Dy5Tl4 structure, with properties calculated at the GGA-PBE level.

Cell lengths 9.3291, 9.3291, 6.7009 Å; angles 90.00, 90.00, 120.00 degrees
With the nearest neighbours (Å) after each atom.
Space group P6_3/mcm (No. 193)
One atom of each set of equivalent atoms:
Dy 0.0000 0.2891 0.2500 [6 per cell]  7 Tl 3.14-3.44
Dy 0.3333 0.6667 0.0000 [4 per cell]  8 Dy 3.35-3.73, 6 Tl 3.38
Tl 0.0000 0.0000 0.0000 [2 per cell]  6 Dy 3.17, 2 Tl 3.35
Tl 0.0000 0.3740 0.7500 [6 per cell]  9 Dy 3.14-3.44

The density comes out at 10.718 g/cm3. Its density of states at the Fermi level is 0.71 states/eV per atom. The total energy is -3.948 eV/atom. Its formation energy is -32.8 kJ/mol of atoms.


Below is a geometry-optimized Ce2InGe3Rh4 structure, with properties calculated at the GGA-PBE level.

Cell lengths 4.1790, 4.1790, 10.8646 Å; angles 90.00, 90.00, 90.00 degrees
With the nearest neighbours (Å) after each atom.
Space group P-4m2 (No. 115)
One atom of each set of equivalent atoms:
Ce 0.0000 0.5000 0.2453 [2 per cell]  8 Rh 3.15-3.39, 6 Ge 3.24-3.47, 2 In 3.47
In 0.0000 0.0000 0.5000 [1 per cell]  4 Rh 2.67, 4 Ge 2.95
Ge 0.0000 0.5000 0.8765 [2 per cell]  5 Rh 2.42-2.48
Ge 0.5000 0.5000 0.5000 [1 per cell]  4 Rh 2.67, 4 In 2.95
Rh 0.0000 0.0000 0.0000 [1 per cell]  4 Ge 2.48
Rh 0.0000 0.5000 0.6534 [2 per cell]  3 Ge 2.42-2.67, 2 In 2.67
Rh 0.5000 0.5000 0.0000 [1 per cell]  4 Ge 2.48

The density comes out at 8.967 g/cm3. Its density of states at the Fermi level is 1.07 states/eV per atom. The total energy is -6.558 eV/atom. Its formation energy is -74.4 kJ/mol of atoms.


Below is a geometry-optimized Pm2PdAu6 structure, with properties calculated at the GGA-PBE level.

Cell lengths 13.1507, 4.1216, 7.7319 Å; angles 90.00, 113.99, 90.00 degrees
With the nearest neighbours (Å) after each atom.
Space group C2/m (No. 12)
One atom of each set of equivalent atoms:
Pm 0.0926 0.0000 0.3474 [4 per cell]  9 Au 3.04-3.24, 2 Pd 3.21
Pd 0.0000 0.5000 0.0000 [2 per cell]  6 Au 2.83-2.86
Au 0.0970 0.5000 0.6735 [4 per cell]  5 Au 2.85-2.96, 2 Pm 3.19
Au 0.1392 0.0000 0.9690 [4 per cell]  5 Au 2.83-2.96, 2 Pd 2.83, 1 Pm 3.04
Au 0.2311 0.5000 0.2466 [4 per cell]  5 Au 2.83-2.93, 1 Pd 2.86, 3 Pm 3.05

The density comes out at 13.689 g/cm3. Its density of states at the Fermi level is 0.29 states/eV per atom. The total energy is -4.401 eV/atom. The value obtained for the polymorph energy (0 for the lowest one) is 0.0 meV/atom. Its formation energy is -56.3 kJ/mol of atoms.


Below is a geometry-optimized BeNbRe structure, with properties calculated at the GGA-PBE level.

Cell lengths 8.9572, 4.3382, 5.2990 Å; angles 90.00, 122.79, 90.00 degrees
With the nearest neighbours (Å) after each atom.
Space group C2/m (No. 12)
One atom of each set of equivalent atoms:
Be 0.1416 0.0000 0.2066 [4 per cell]  1 Be 2.28
Nb 0.1742 0.0000 0.7329 [4 per cell]  4 Be 2.64-2.68, 4 Re 2.65-2.90, 1 Nb 2.74
Re 0.0069 0.5000 0.7632 [4 per cell]  2 Re 2.58-2.73, 2 Be 2.59, 3 Nb 2.65-2.69

The density comes out at 11.056 g/cm3. Its density of states at the Fermi level is 0.53 states/eV per atom. The total energy is -8.744 eV/atom. The value obtained for the polymorph energy (0 for the lowest one) is 290.0 meV/atom. Its formation energy is 0.4 kJ/mol of atoms.


- Number 4 is which compound?
  Na2CeHo2Se6